Y2ReAg | meta-GGA SCAN | single point on PBEsol structure

Output
Space group = Imm2, No. 44

a b c (Å): 6.114 6.114 6.114
angles (deg): 148.73 133.14 57.42
Element x y z (fractional)
Y 0.000 0.000 0.000
Y 0.704 0.204 0.500
Re 0.472 0.472 0.000
Ag 0.270 0.770 0.500

YRe2Ag | meta-GGA SCAN | single point on PBEsol structure

Output
Space group = Cmmm, No. 65
Energy relative to the lowest polymorph listed for this composition = 415.6 meV per atom

a b c (Å): 2.729 2.729 9.517
angles (deg): 90.00 90.00 107.57
Element x y z (fractional)
Y 0.000 0.000 0.000
Re 0.500 0.500 0.260
Re 0.500 0.500 0.740
Ag 0.000 0.000 0.500

YRe2Ag | meta-GGA SCAN | single point on PBEsol structure

Output
Space group = Immm, No. 71
Energy relative to the lowest polymorph listed for this composition = 222.6 meV per atom

a b c (Å): 5.567 5.567 5.567
angles (deg): 145.94 133.14 59.19
Element x y z (fractional)
Y 0.000 0.000 0.000
Re 0.254 0.754 0.500
Re 0.746 0.246 0.500
Ag 0.500 0.500 0.000

YRe2Ag | meta-GGA SCAN | single point on PBEsol structure

Output
Space group = F-43m, No. 216
Energy relative to the lowest polymorph listed for this composition = 108.2 meV per atom

a b c (Å): 4.596 4.596 4.596
angles (deg): 60.00 60.00 60.00
Element x y z (fractional)
Y 0.000 0.000 0.000
Re 0.500 0.500 0.500
Re 0.750 0.750 0.750
Ag 0.250 0.250 0.250

YRe2Ag | meta-GGA SCAN | single point on PBEsol structure

Output
Space group = Pm, No. 6
Energy relative to the lowest polymorph listed for this composition = 0.0 meV per atom

a b c (Å): 2.897 4.389 5.651
angles (deg): 90.00 101.32 90.00
Element x y z (fractional)
Y 0.000 0.000 0.000
Re 0.263 0.500 0.672
Re 0.564 0.000 0.533
Ag 0.588 0.500 0.226

YRe3Ag | meta-GGA SCAN | single point on PBEsol structure

Output
Space group = Pm-3m, No. 221

a b c (Å): 4.739 4.739 4.739
angles (deg): 90.00 90.00 90.00
Element x y z (fractional)
Y 0.000 0.000 0.000
Re 0.000 0.500 0.500
Re 0.500 0.000 0.500
Re 0.500 0.500 0.000
Ag 0.500 0.500 0.500

ZnReAg2 | meta-GGA SCAN | single point on PBEsol structure

Output
Space group = P2/m, No. 10

a b c (Å): 2.632 4.490 5.233
angles (deg): 90.00 101.01 90.00
Element x y z (fractional)
Zn 0.000 0.000 0.000
Re 0.500 0.000 0.500
Ag 0.166 0.500 0.755
Ag 0.834 0.500 0.245

ZnReAg2 | meta-GGA SCAN | single point on PBEsol structure

Output
Space group = Cmm2, No. 35

a b c (Å): 2.667 2.667 8.843
angles (deg): 90.00 90.00 105.19
Element x y z (fractional)
Zn 0.000 0.000 0.000
Re 0.500 0.500 0.765
Ag 0.000 0.000 0.504
Ag 0.500 0.500 0.241

| no. | magnetic moment (μB per formula unit) | energy of formation (eV/atom) |
| --- | --- | --- |
| 1 | 0.0 | 0.1634 |
| 2 | 0.0 | 0.6998 |
| 3 | 0.0 | 0.5068 |
| 4 | 0.0 | 0.3924 |
| 5 | 0.0 | 0.2842 |
| 6 | 0.0 | 2.4641 |
| 7 | 0.0 | 0.5142 |
| 8 | 0.0 | 0.2824 |